1.
The following is a GGA-PBE calculation of an optimized crystal structure of LaPt2Pb2, from Alexandria.

a = 4.9503 Å, b = 4.9503 Å, c = 10.4961 Å
α = 90.00°, β = 90.00°, γ = 90.00°
Last column: nearest neighbours and their distance in Å.
Space group I4/mmm (No. 139)
One atom of each set of equivalent atoms:
La (0.0000, 0.0000, 0.0000) (multiplicity 2)  8 Pt 3.61, 10 Pb 3.78-3.80
Pt (0.0000, 0.5000, 0.2500) (multiplicity 4)  4 Pb 2.73
Pb (0.0000, 0.0000, 0.3602) (multiplicity 4)  4 Pt 2.73, 1 Pb 2.93

Calculated values
- Raw total energy: -0.1951 hartree per atom
- Energy relative to the lowest polymorph listed for this composition: 204 meV/atom
- DFT formation energy: -423 meV per atom
- V: 25.72 Å³ per atom


2.
The following is a GGA-PBE calculation of an optimized crystal structure of Al2InMo, from Alexandria.

a = 3.4628 Å, b = 3.4628 Å, c = 5.7846 Å
α = 90.00°, β = 90.00°, γ = 90.00°
Last column: nearest neighbours and their distance in Å.
Space group P4/mmm (No. 123)
One atom of each set of equivalent atoms:
Al (0.0000, 0.0000, 0.2203) (multiplicity 2)  1 Al 2.55, 4 Mo 2.76
In (0.5000, 0.5000, 0.5000) (multiplicity 1)  2 Mo 2.89, 8 Al 2.93
Mo (0.5000, 0.5000, 0.0000) (multiplicity 1)  8 Al 2.76, 2 In 2.89

Calculated values
- Raw total energy: -0.1942 hartree per atom
- DFT formation energy: -21 meV per atom
- V: 17.34 Å³ per atom


3.
The following is a GGA-PBE calculation of an optimized crystal structure of DyAg3Pb, from Alexandria.

a = 4.7034 Å, b = 28.8122 Å, c = 3.4522 Å
α = 90.00°, β = 90.00°, γ = 90.00°
Last column: nearest neighbours and their distance in Å.
Space group Cmmm (No. 65)
One atom of each set of equivalent atoms:
Dy (0.0000, 0.1776, 0.0000) (multiplicity 4)  6 Ag 3.25, 4 Pb 3.27, 2 Dy 3.45
Ag (0.0000, 0.0499, 0.5000) (multiplicity 4)  5 Ag 2.88-2.92, 2 Pb 3.21
Ag (0.0000, 0.2731, 0.5000) (multiplicity 4)  2 Ag 2.70, 1 Pb 2.91
Ag (0.0000, 0.4541, 0.0000) (multiplicity 4)  5 Ag 2.65-2.92, 2 Pb 2.88
Pb (0.0000, 0.3740, 0.5000) (multiplicity 4)  5 Ag 2.88-3.21

Calculated values
- Raw total energy: -0.1249 hartree per atom
- DFT formation energy: -27 meV per atom
- V: 23.39 Å³ per atom


4.
The following is a GGA-PBE calculation of an optimized crystal structure of La9NdHo2, from Alexandria.

a = 5.2136 Å, b = 5.2136 Å, c = 15.6582 Å
α = 90.00°, β = 90.00°, γ = 90.00°
Last column: nearest neighbours and their distance in Å.
Space group P4/mmm (No. 123)
One atom of each set of equivalent atoms:
La (0.0000, 0.0000, 0.0000) (multiplicity 1)  4 Nd 3.69, 8 La 3.71
La (0.0000, 0.0000, 0.3345) (multiplicity 2)  8 La 3.68, 4 Ho 3.69
La (0.0000, 0.5000, 0.1686) (multiplicity 4)  8 La 3.68-3.71, 2 Ho 3.68, 2 Nd 3.71
La (0.0000, 0.5000, 0.5000) (multiplicity 2)  4 Ho 3.68, 8 La 3.68-3.69
Nd (0.5000, 0.5000, 0.0000) (multiplicity 1)  12 La 3.69-3.71
Ho (0.5000, 0.5000, 0.3345) (multiplicity 2)  12 La 3.68-3.69

Calculated values
- Raw total energy: -0.1782 hartree per atom
- DFT formation energy: 7 meV per atom
- V: 35.47 Å³ per atom


5.
The following is a GGA-PBE calculation of an optimized crystal structure of LiNi9Ge2, from Alexandria.

a = 3.5819 Å, b = 3.5819 Å, c = 10.5481 Å
α = 90.00°, β = 90.00°, γ = 90.00°
Last column: nearest neighbours and their distance in Å.
Space group P4/mmm (No. 123)
One atom of each set of equivalent atoms:
Li (0.0000, 0.0000, 0.0000) (multiplicity 1)  12 Ni 2.49-2.53
Ni (0.0000, 0.5000, 0.1643) (multiplicity 4)  8 Ni 2.49-2.53, 2 Li 2.49, 2 Ge 2.49
Ni (0.0000, 0.5000, 0.5000) (multiplicity 2)  8 Ni 2.51-2.53, 4 Ge 2.54
Ni (0.5000, 0.5000, 0.0000) (multiplicity 1)  8 Ni 2.49, 4 Li 2.53
Ni (0.5000, 0.5000, 0.3330) (multiplicity 2)  8 Ni 2.51-2.52, 4 Ge 2.53
Ge (0.0000, 0.0000, 0.3287) (multiplicity 2)  12 Ni 2.49-2.54

Calculated values
- Raw total energy: -0.1998 hartree per atom
- DFT formation energy: -172 meV per atom
- V: 11.28 Å³ per atom


6.
The following is a GGA-PBE calculation of an optimized crystal structure of TlZnCd2Ga, from Alexandria.

a = 5.1934 Å, b = 5.1934 Å, c = 4.8950 Å
α = 90.00°, β = 90.00°, γ = 90.00°
Last column: nearest neighbours and their distance in Å.
Space group P4/mmm (No. 123)
One atom of each set of equivalent atoms:
Tl (0.0000, 0.0000, 0.0000) (multiplicity 1)  8 Cd 3.57, 4 Ga 3.67
Zn (0.5000, 0.5000, 0.5000) (multiplicity 1)  2 Ga 2.45, 4 Cd 2.60
Cd (0.0000, 0.5000, 0.5000) (multiplicity 2)  2 Zn 2.60
Ga (0.5000, 0.5000, 0.0000) (multiplicity 1)  2 Zn 2.45

Calculated values
- Raw total energy: -0.0553 hartree per atom
- DFT formation energy: 194 meV per atom
- V: 26.41 Å³ per atom


Which of these has the lowest DFT formation energy? LaPt2Pb2


What is the V in the fifth record? 11.28 Å³ per atom